No. 1
{
  "formula": "Np3VAg3S8",
  "functional": "PBE",
  "state": "optimized geometry",
  "lattice_angstrom": [[6.589, -3.911, 0.000], [6.589, 3.911, 0.000], [-4.282, 0.000, 6.370]],
  "species": ["Np", "Np", "Np", "V", "Ag", "Ag", "Ag", "S", "S", "S", "S", "S", "S", "S", "S"],
  "frac_coords": [[0.000, 0.000, 0.000], [0.000, 0.500, 0.500], [0.500, 0.000, 0.500], [0.500, 0.500, 0.000], [0.000, 0.500, 0.000], [0.500, 0.000, 0.000], [0.500, 0.500, 0.500], [0.247, 0.247, 0.254], [0.265, 0.731, 0.770], [0.269, 0.269, 0.764], [0.269, 0.735, 0.230], [0.731, 0.265, 0.770], [0.731, 0.731, 0.236], [0.735, 0.269, 0.230], [0.753, 0.753, 0.746]],
  "density_g_cm3": 6.8,
  "total_energy_ev_per_atom": -6.809,
  "m_tot_mub_per_fu": 13.0,
  "sg": "C2/m"
}



No. 2
{
  "formula": "YNpAgS4",
  "functional": "PBE",
  "state": "optimized geometry",
  "lattice_angstrom": [[-3.954, 4.022, 5.603], [3.954, -4.022, 5.603], [3.954, 4.022, -5.603]],
  "species": ["Y", "Y", "Np", "Np", "Ag", "Ag", "S", "S", "S", "S", "S", "S", "S", "S"],
  "frac_coords": [[0.500, 0.000, 0.000], [0.500, 0.500, 0.500], [0.000, 0.000, 0.000], [0.500, 0.000, 0.500], [0.120, 0.370, 0.750], [0.880, 0.630, 0.250], [0.253, 0.239, 0.015], [0.255, 0.234, 0.479], [0.255, 0.776, 0.021], [0.276, 0.761, 0.515], [0.724, 0.239, 0.485], [0.745, 0.224, 0.979], [0.745, 0.766, 0.521], [0.747, 0.761, 0.985]],
  "density_g_cm3": 5.2,
  "total_energy_ev_per_atom": -6.835,
  "m_tot_mub_per_fu": 3.0,
  "sg": "Imma"
}



No. 3
{
  "formula": "Y2NpAg2S6",
  "functional": "PBE",
  "state": "optimized geometry",
  "lattice_angstrom": [[3.476, -6.082, 0.000], [3.476, 6.082, 0.000], [-1.051, 0.000, 6.437]],
  "species": ["Y", "Y", "Np", "Ag", "Ag", "S", "S", "S", "S", "S", "S"],
  "frac_coords": [[0.165, 0.835, 0.000], [0.835, 0.165, 0.000], [0.500, 0.500, 0.000], [0.377, 0.623, 0.500], [0.623, 0.377, 0.500], [0.137, 0.469, 0.777], [0.210, 0.210, 0.225], [0.469, 0.137, 0.777], [0.531, 0.863, 0.223], [0.790, 0.790, 0.775], [0.863, 0.531, 0.223]],
  "density_g_cm3": 5.0,
  "total_energy_ev_per_atom": -6.406,
  "m_tot_mub_per_fu": 3.0,
  "sg": "C2/m"
}



No. 4
{
  "formula": "Y3NpAg3S8",
  "functional": "PBE",
  "state": "optimized geometry",
  "lattice_angstrom": [[6.535, -4.030, 0.000], [6.535, 4.030, 0.000], [-4.089, 0.000, 6.532]],
  "species": ["Y", "Y", "Y", "Np", "Ag", "Ag", "Ag", "S", "S", "S", "S", "S", "S", "S", "S"],
  "frac_coords": [[0.000, 0.000, 0.000], [0.000, 0.500, 0.500], [0.500, 0.000, 0.500], [0.500, 0.500, 0.000], [0.000, 0.500, 0.000], [0.500, 0.000, 0.000], [0.500, 0.500, 0.500], [0.248, 0.248, 0.254], [0.251, 0.744, 0.758], [0.256, 0.256, 0.749], [0.256, 0.749, 0.242], [0.744, 0.251, 0.758], [0.744, 0.744, 0.251], [0.749, 0.256, 0.242], [0.752, 0.752, 0.746]],
  "density_g_cm3": 5.2,
  "total_energy_ev_per_atom": -6.199,
  "m_tot_mub_per_fu": 3.0,
  "sg": "C2/m"
}



No. 5
{
  "formula": "ZrNpAgS4",
  "functional": "PBE",
  "state": "optimized geometry",
  "lattice_angstrom": [[-3.776, 4.035, 5.486], [3.776, -4.035, 5.486], [3.776, 4.035, -5.486]],
  "species": ["Zr", "Zr", "Np", "Np", "Ag", "Ag", "S", "S", "S", "S", "S", "S", "S", "S"],
  "frac_coords": [[0.500, 0.000, 0.000], [0.500, 0.500, 0.500], [0.000, 0.000, 0.000], [0.500, 0.000, 0.500], [0.114, 0.364, 0.750], [0.886, 0.636, 0.250], [0.264, 0.255, 0.490], [0.264, 0.774, 0.010], [0.275, 0.249, 0.027], [0.278, 0.751, 0.527], [0.722, 0.249, 0.473], [0.725, 0.751, 0.973], [0.736, 0.226, 0.990], [0.736, 0.745, 0.510]],
  "density_g_cm3": 5.6,
  "total_energy_ev_per_atom": -7.008,
  "m_tot_mub_per_fu": 3.9,
  "sg": "Imma"
}



No. 6
{
  "formula": "NpAg2Sb2",
  "functional": "PBE",
  "state": "optimized geometry",
  "lattice_angstrom": [[2.163, -12.267, 0.000], [2.163, 12.267, 0.000], [0.000, 0.000, 4.337]],
  "species": ["Np", "Np", "Ag", "Ag", "Ag", "Ag", "Sb", "Sb", "Sb", "Sb"],
  "frac_coords": [[0.151, 0.849, 0.750], [0.849, 0.151, 0.250], [0.040, 0.960, 0.250], [0.459, 0.541, 0.250], [0.541, 0.459, 0.750], [0.960, 0.040, 0.750], [0.250, 0.750, 0.250], [0.379, 0.621, 0.750], [0.621, 0.379, 0.250], [0.750, 0.250, 0.750]],
  "density_g_cm3": 10.0,
  "total_energy_ev_per_atom": -5.538,
  "m_tot_mub_per_fu": 3.8,
  "sg": "Cmcm"
}



No. 7
{
  "formula": "Np2AgSb",
  "functional": "PBE",
  "state": "optimized geometry",
  "lattice_angstrom": [[5.664, 0.000, 0.000], [0.000, 5.664, 0.000], [0.000, 0.000, 3.090]],
  "species": ["Np", "Np", "Ag", "Sb"],
  "frac_coords": [[0.000, 0.500, 0.000], [0.500, 0.000, 0.000], [0.000, 0.000, 0.500], [0.500, 0.500, 0.500]],
  "density_g_cm3": 11.8,
  "total_energy_ev_per_atom": -8.066,
  "m_tot_mub_per_fu": 9.9,
  "sg": "P4/mmm"
}



No. 8
{
  "formula": "NpAgSb3",
  "functional": "PBE",
  "state": "optimized geometry",
  "lattice_angstrom": [[13.186, 0.000, 0.000], [0.000, 6.152, 0.000], [0.000, 0.000, 6.199]],
  "species": ["Np", "Np", "Np", "Np", "Ag", "Ag", "Ag", "Ag", "Sb", "Sb", "Sb", "Sb", "Sb", "Sb", "Sb", "Sb", "Sb", "Sb", "Sb", "Sb"],
  "frac_coords": [[0.184, 0.002, 0.250], [0.184, 0.498, 0.750], [0.816, 0.502, 0.250], [0.816, 0.998, 0.750], [0.387, 0.750, 0.000], [0.387, 0.750, 0.500], [0.613, 0.250, 0.000], [0.613, 0.250, 0.500], [0.002, 0.750, 0.000], [0.002, 0.750, 0.500], [0.234, 0.003, 0.750], [0.234, 0.497, 0.250], [0.420, 0.179, 0.250], [0.420, 0.321, 0.750], [0.580, 0.679, 0.250], [0.580, 0.821, 0.750], [0.766, 0.503, 0.750], [0.766, 0.997, 0.250], [0.998, 0.250, 0.000], [0.998, 0.250, 0.500]],
  "density_g_cm3": 9.4,
  "total_energy_ev_per_atom": -5.733,
  "m_tot_mub_per_fu": 3.9,
  "sg": "Pbcm"
}